Entry 1:
Below is a geometry-optimized KCr2Hg2O7 structure, with properties calculated at the GGA+U level.

Properties
Its volume is 693 Å³ per cell. The crystal system is trigonal. The calculation puts the total magnetic moment at 0.00 μB per atom.

Cell lengths 5.7230, 5.7230, 24.4169 Å; angles 90.00, 90.00, 120.00 degrees
Space group R32 (No. 155, hexagonal axes)
Asymmetric unit:
K (0.0000, 0.0000, 0.0000) (multiplicity 3)
Cr (0.0000, 0.0000, 0.4266) (multiplicity 6)
Hg (0.0000, 0.0000, 0.1813) (multiplicity 6)
O (0.0000, 0.0000, 0.5000) (multiplicity 3)
O (0.0195, 0.2804, 0.4052) (multiplicity 18)


Entry 2:
Below is a geometry-optimized K3Cr2HgO8 structure, with properties calculated at the GGA+U level.

Properties
Its volume is 249 Å³ per cell. The crystal system is trigonal. The calculation puts the total magnetic moment at 0.07 μB per atom.

Cell lengths 6.0455, 6.0455, 7.8656 Å; angles 90.00, 90.00, 120.00 degrees
Space group P-3m1 (No. 164)
Asymmetric unit:
K (0.0000, 0.0000, 0.0000) (multiplicity 1)
K (0.3333, 0.6667, 0.6719) (multiplicity 2)
Cr (0.3333, 0.6667, 0.2128) (multiplicity 2)
Hg (0.0000, 0.0000, 0.5000) (multiplicity 1)
O (0.1822, 0.3644, 0.2864) (multiplicity 6)
O (0.3333, 0.6667, 0.0038) (multiplicity 2)


Entry 3:
Below is a geometry-optimized KCr2HgO8 structure, with properties calculated at the GGA+U level.

Properties
Its volume is 580 Å³ per cell. The crystal system is trigonal. The calculation puts the total magnetic moment at 0.09 μB per atom.

Cell lengths 5.2976, 5.2976, 23.8460 Å; angles 90.00, 90.00, 120.00 degrees
Space group R-3 (No. 148, hexagonal axes)
Asymmetric unit:
K (0.0000, 0.0000, 0.0000) (multiplicity 3)
Cr (0.0000, 0.0000, 0.2463) (multiplicity 6)
Hg (0.0000, 0.0000, 0.5000) (multiplicity 3)
O (0.0000, 0.0000, 0.3148) (multiplicity 6)
O (0.0019, 0.6994, 0.2242) (multiplicity 18)


Entry 4:
Below is a geometry-optimized K2CrHgO structure, with properties calculated at the GGA+U level.

Properties
Its volume is 139 Å³ per cell. The crystal system is tetragonal. The calculation puts the total magnetic moment at 0.87 μB per atom.

Cell lengths 5.901, 5.901, 3.995 Å; angles 90.00, 90.00, 90.00 degrees
Space group P4/mmm (No. 123)
Asymmetric unit:
K (0.000, 0.500, 0.000) (multiplicity 2)
Cr (0.000, 0.000, 0.500) (multiplicity 1)
Hg (0.500, 0.500, 0.500) (multiplicity 1)
O (0.000, 0.000, 0.000) (multiplicity 1)


Entry 5:
Below is a geometry-optimized KCrHgO4 structure, with properties calculated at the GGA+U level.

Properties
Its volume is 504 Å³ per cell. The crystal system is orthorhombic. The calculation puts the total magnetic moment at 0.00 μB per atom.

Cell lengths 6.609, 10.356, 7.360 Å; angles 90.00, 90.00, 90.00 degrees
Space group Cmcm (No. 63)
Asymmetric unit:
K (0.000, 0.000, 0.000) (multiplicity 4)
Cr (0.000, 0.359, 0.250) (multiplicity 4)
Hg (0.000, 0.320, 0.750) (multiplicity 4)
O (0.000, 0.264, 0.063) (multiplicity 8)
O (0.203, 0.455, 0.250) (multiplicity 8)


Entry 6:
Below is a geometry-optimized K2Cr2HgO7 structure, with properties calculated at the GGA+U level.

Properties
Its volume is 1042 Å³ per cell. The crystal system is trigonal. The calculation puts the total magnetic moment at 0.00 μB per atom.

Cell lengths 7.0124, 7.0124, 24.4592 Å; angles 90.00, 90.00, 120.00 degrees
Space group R32 (No. 155, hexagonal axes)
Asymmetric unit:
K (0.0000, 0.0000, 0.2118) (multiplicity 6)
Cr (0.0000, 0.0000, 0.0723) (multiplicity 6)
Hg (0.0000, 0.0000, 0.5000) (multiplicity 3)
O (0.0000, 0.0000, 0.0000) (multiplicity 3)
O (0.0782, 0.2468, 0.9042) (multiplicity 18)


Number 1: E_tot -5.314 eV/atom. Number 2: E_tot -5.552 eV/atom. Number 3: E_tot -5.691 eV/atom. Number 4: E_tot -3.595 eV/atom. Number 5: E_tot -5.244 eV/atom. Number 6: E_tot -5.680 eV/atom.